# Ca4Mg3FeSi8O24

A relaxed Ca4Mg3FeSi8O24 crystal (PBE+U, the Alexandria database).

Cell lengths 5.3295, 6.7023, 13.4112 Å; angles 90.49, 101.06, 101.80 degrees
Last column: magnetic moment on the atom in μB.
Fractional positions:
Ca1 0.1002 0.7017 0.8515  0.00
Ca2 0.6009 0.6985 0.3490  0.00
Ca3 0.3947 0.2964 0.6490  0.00
Ca4 0.8998 0.3011 0.1486  0.00
Mg1 0.2965 0.0935 0.0465  0.00
Mg2 0.7038 0.9081 0.9545  0.00
Mg3 0.2048 0.9071 0.4528  0.00
Fe1 0.7960 0.0924 0.5461  3.77
Si1 0.8639 0.6212 0.5975  0.01
Si2 0.3648 0.6217 0.0965  0.00
Si3 0.0432 0.1948 0.8128  0.00
Si4 0.5436 0.1919 0.3085  0.00
Si5 0.6352 0.3806 0.9043  0.00
Si6 0.1385 0.3794 0.4016  0.00
Si7 0.4549 0.8057 0.6908  0.00
Si8 0.9576 0.8079 0.1895  0.00
O1 0.1645 0.6331 0.6681  0.00
O2 0.6672 0.6351 0.1665  0.00
O3 0.8165 0.3347 0.8182  0.00
O4 0.3204 0.3346 0.3156  0.00
O5 0.3326 0.3681 0.8350  0.00
O6 0.8348 0.3632 0.3326  0.00
O7 0.6807 0.6666 0.6825  0.00
O8 0.1830 0.6674 0.1825  0.00
O9 0.7362 0.3889 0.5582  0.03
O10 0.2372 0.3896 0.0570  0.00
O11 0.0181 0.1131 0.6978  0.02
O12 0.5164 0.1155 0.1925  0.00
O13 0.7643 0.6124 0.9440  0.00
O14 0.2636 0.6118 0.4411  0.00
O15 0.4854 0.8840 0.8068  0.00
O16 0.9840 0.8857 0.3054  0.00
O17 0.8706 0.7930 0.5129  0.02
O18 0.3714 0.7973 0.0141  0.00
O19 0.0414 0.0292 0.9001  0.00
O20 0.5369 0.0229 0.3941  0.02
O21 0.6288 0.2041 0.9862  0.00
O22 0.1395 0.2048 0.4843  0.02
O23 0.4484 0.9691 0.6026  0.02
O24 0.9595 0.9735 0.1021  0.00

## Properties
Crystal system: triclinic
Total energy (eV/atom): -7.38
ρ (g/cm3): 3.243